DFT (GGA-PBE) results for crystalline KHg2Ru at its relaxed geometry.

Unit cell a=7.2078 b=7.2078 c=7.2078 alpha=90.00 beta=90.00 gamma=90.00
Last column: nearest neighbours and their distance in Å.
Space group F-43m (No. 216)
Asymmetric unit:
K: 0.0000 0.0000 0.0000  4 Hg 3.12, 4 Ru 3.12
Hg: 0.0000 0.0000 0.5000  4 Ru 3.12, 4 Hg 3.12
Hg: 0.2500 0.2500 0.7500  4 Hg 3.12, 4 K 3.12
Ru: 0.2500 0.2500 0.2500  4 Hg 3.12, 4 K 3.12

- calculated formation energy (meV per atom) = 820
- electronic total energy (eV per cell) = -30.782
- DOS(E_F) (states/eV/f.u.) = 8.3

DFT (GGA-PBE) results for crystalline Th4Cu3Tc at its relaxed geometry.

Unit cell a=3.8705 b=4.3723 c=10.9948 alpha=90.00 beta=90.00 gamma=90.00
Last column: nearest neighbours and their distance in Å.
Space group Pmm2 (No. 25)
Asymmetric unit:
Th: 0.0000 0.0000 0.0000  5 Cu 2.99-3.27, 2 Tc 3.12
Th: 0.0000 0.5000 0.2722  4 Tc 2.97, 3 Cu 3.03-3.21
Th: 0.5000 0.0000 0.4876  1 Tc 2.91, 6 Cu 3.04-3.06
Th: 0.5000 0.5000 0.7801  7 Cu 3.04-3.08
Cu: 0.0000 0.0000 0.7029  2 Cu 2.67
Cu: 0.0000 0.5000 0.5642  2 Cu 2.67
Cu: 0.5000 0.5000 0.0598  2 Tc 2.83, 7 Th 2.99-3.08
Tc: 0.5000 0.0000 0.2226  2 Cu 2.83, 7 Th 2.91-3.12

- calculated formation energy (meV per atom) = -131
- electronic total energy (eV per cell) = -53.379
- DOS(E_F) (states/eV/f.u.) = 9.2

DFT (GGA-PBE) results for crystalline Na2AlCdAu6 at its relaxed geometry.

Unit cell a=10.2018 b=10.2018 c=10.2018 alpha=90.00 beta=90.00 gamma=90.00
Last column: nearest neighbours and their distance in Å.
Space group Fm-3m (No. 225)
Asymmetric unit:
Na: 0.2500 0.2500 0.2500  12 Au 3.61
Al: 0.0000 0.0000 0.0000  6 Au 2.44
Cd: 0.0000 0.0000 0.5000  6 Au 2.67
Au: 0.0000 0.0000 0.2387  1 Al 2.44, 1 Cd 2.67

- calculated formation energy (meV per atom) = 10
- electronic total energy (eV per cell) = -107.449
- DOS(E_F) (states/eV/f.u.) = 1.3

DFT (GGA-PBE) results for crystalline ZrMo3 at its relaxed geometry.

Unit cell a=2.8674 b=4.5309 c=5.3509 alpha=90.00 beta=100.72 gamma=90.00
Last column: nearest neighbours and their distance in Å.
Space group P2/m (No. 10)
Asymmetric unit:
Zr: 0.0000 0.0000 0.0000  6 Mo 2.79-2.82, 2 Zr 2.87
Mo: 0.2575 0.5000 0.7419  6 Mo 2.73-2.87, 2 Zr 2.82
Mo: 0.5000 0.0000 0.5000  6 Mo 2.76-2.87, 2 Zr 2.79

- calculated formation energy (meV per atom) = 28
- electronic total energy (eV per cell) = -40.931
- DOS(E_F) (states/eV/f.u.) = 3.8

Question: What is the calculated formation energy in the third record?
Answer: 10 meV per atom

Question: Which formula does entry 2 have?
Answer: Th4Cu3Tc